Density functional theory data (GGA+U) for K2VCl2F4 after structural relaxation.

## Properties
**E_tot**: -4.70 eV per atom

The structure in CIF format:
```
data_K2VCl2F4
_cell_length_a 5.1328
_cell_length_b 6.6798
_cell_length_c 6.6798
_cell_angle_alpha 52.73
_cell_angle_beta 92.77
_cell_angle_gamma 92.77
_symmetry_space_group_name_H-M 'P 1'
_symmetry_Int_Tables_number 1
_symmetry_space_group_name_Hall 'P 1'
loop_
_atom_site_label
_atom_site_fract_x
_atom_site_fract_y
_atom_site_fract_z
F1 0.7384 0.8236 0.2692
K1 0.8507 0.3615 0.3615
F2 0.7384 0.2692 0.8236
K2 0.1493 0.6385 0.6385
F3 0.2616 0.7308 0.1764
V1 0.5000 0.0000 0.0000
Cl1 0.6685 0.8170 0.8170
Cl2 0.3315 0.1830 0.1830
F4 0.2616 0.1764 0.7308
```

---

Density functional theory data (GGA+U) for KVCl2F after structural relaxation.

## Properties
**E_tot**: -4.76 eV per atom

The structure in CIF format:
```
data_KVCl2F
_cell_length_a 5.1287
_cell_length_b 5.1287
_cell_length_c 4.1719
_cell_angle_alpha 90.00
_cell_angle_beta 90.00
_cell_angle_gamma 90.00
_symmetry_space_group_name_H-M 'P 1'
_symmetry_Int_Tables_number 1
_symmetry_space_group_name_Hall 'P 1'
loop_
_atom_site_label
_atom_site_fract_x
_atom_site_fract_y
_atom_site_fract_z
K1 0.5000 0.5000 0.5000
V1 0.0000 0.0000 0.0000
F1 0.0000 0.0000 0.5000
Cl1 0.5000 0.0000 0.0000
Cl2 0.0000 0.5000 0.0000
```

---

Density functional theory data (GGA+U) for K3V2Cl2F5 after structural relaxation.

## Properties
**E_tot**: -5.07 eV per atom

The structure in CIF format:
```
data_K3V2Cl2F5
_cell_length_a 4.2904
_cell_length_b 4.2904
_cell_length_c 12.4463
_cell_angle_alpha 99.92
_cell_angle_beta 99.92
_cell_angle_gamma 90.00
_symmetry_space_group_name_H-M 'P 1'
_symmetry_Int_Tables_number 1
_symmetry_space_group_name_Hall 'P 1'
loop_
_atom_site_label
_atom_site_fract_x
_atom_site_fract_y
_atom_site_fract_z
Cl1 0.6922 0.6922 0.3843
F1 0.9151 0.4151 0.8301
K1 0.8285 0.8285 0.6571
K2 0.1715 0.1715 0.3429
K3 0.0000 0.0000 0.0000
Cl2 0.3078 0.3078 0.6157
F2 0.5849 0.0849 0.1699
F3 0.4151 0.9151 0.8301
F4 0.5000 0.5000 0.0000
V1 0.4129 0.4129 0.8257
F5 0.0849 0.5849 0.1699
V2 0.5871 0.5871 0.1743
```

---

Density functional theory data (GGA+U) for K2VCl3F after structural relaxation.

## Properties
**E_tot**: -4.39 eV per atom

The structure in CIF format:
```
data_K2VCl3F
_cell_length_a 4.2345
_cell_length_b 5.0550
_cell_length_c 8.7451
_cell_angle_alpha 106.80
_cell_angle_beta 104.01
_cell_angle_gamma 90.00
_symmetry_space_group_name_H-M 'P 1'
_symmetry_Int_Tables_number 1
_symmetry_space_group_name_Hall 'P 1'
loop_
_atom_site_label
_atom_site_fract_x
_atom_site_fract_y
_atom_site_fract_z
F1 0.5000 0.0000 0.0000
Cl1 0.0000 0.5000 0.0000
K1 0.3546 0.3546 0.7092
Cl2 0.1586 0.1586 0.3172
K2 0.6454 0.6454 0.2908
Cl3 0.8414 0.8414 0.6828
V1 0.0000 0.0000 0.0000
```

---

Density functional theory data (GGA+U) for K3WCl2F6 after structural relaxation.

## Properties
**E_tot**: -4.62 eV per atom

The structure in CIF format:
```
data_K3WCl2F6
_cell_length_a 4.6252
_cell_length_b 7.7284
_cell_length_c 8.8128
_cell_angle_alpha 116.01
_cell_angle_beta 73.98
_cell_angle_gamma 90.00
_symmetry_space_group_name_H-M 'P 1'
_symmetry_Int_Tables_number 1
_symmetry_space_group_name_Hall 'P 1'
loop_
_atom_site_label
_atom_site_fract_x
_atom_site_fract_y
_atom_site_fract_z
F1 0.8692 0.9058 0.8117
W1 0.5000 0.0000 0.0000
K1 0.5000 0.5000 0.5000
F2 0.6464 0.8771 0.1245
Cl1 0.9354 0.3147 0.6294
F3 0.3536 0.7526 0.8755
F4 0.6464 0.2474 0.1245
K2 0.5000 0.0000 0.5000
K3 0.0000 0.5000 0.0000
Cl2 0.0646 0.6853 0.3706
F5 0.3536 0.1229 0.8755
F6 0.1308 0.0942 0.1883
```

---

Density functional theory data (GGA+U) for K2WCl4F2 after structural relaxation.

## Properties
**E_tot**: -4.24 eV per atom

The structure in CIF format:
```
data_K2WCl4F2
_cell_length_a 5.7367
_cell_length_b 6.6707
_cell_length_c 6.6707
_cell_angle_alpha 65.07
_cell_angle_beta 78.57
_cell_angle_gamma 78.57
_symmetry_space_group_name_H-M 'P 1'
_symmetry_Int_Tables_number 1
_symmetry_space_group_name_Hall 'P 1'
loop_
_atom_site_label
_atom_site_fract_x
_atom_site_fract_y
_atom_site_fract_z
W1 0.5000 0.0000 0.0000
Cl1 0.6931 0.8503 0.3392
Cl2 0.3069 0.6608 0.1497
F1 0.2240 0.1459 0.1459
K1 0.1905 0.6738 0.6738
Cl3 0.3069 0.1497 0.6608
K2 0.8095 0.3262 0.3262
Cl4 0.6931 0.3392 0.8503
F2 0.7760 0.8541 0.8541
```

---

Density functional theory data (GGA+U) for KW2ClF after structural relaxation.

## Properties
**E_tot**: -2.61 eV per atom

The structure in CIF format:
```
data_KW2ClF
_cell_length_a 6.7251
_cell_length_b 6.7251
_cell_length_c 5.4319
_cell_angle_alpha 90.00
_cell_angle_beta 90.00
_cell_angle_gamma 90.00
_symmetry_space_group_name_H-M 'P 1'
_symmetry_Int_Tables_number 1
_symmetry_space_group_name_Hall 'P 1'
loop_
_atom_site_label
_atom_site_fract_x
_atom_site_fract_y
_atom_site_fract_z
W1 0.0000 0.5000 0.0000
Cl1 0.0000 0.0000 0.5000
W2 0.5000 0.0000 0.0000
F1 0.5000 0.5000 0.5000
K1 0.0000 0.0000 0.0000
```